--- w ---
Density functional theory data (PBE) for a relaxed FeNiP2S crystal.

Geometry as POSCAR:
```
FeNiP2S
1.0
4.128 0.000 0.000
0.000 4.128 0.000
0.000 0.000 4.886
Ni S Fe P
1 1 1 2
direct
0.500 0.500 0.500
0.000 0.000 0.500
0.000 0.000 0.000
0.000 0.500 0.000
0.500 0.000 0.000
```

Values from the calculation:
SG = P4/mmm, No. 123

--- x ---
Density functional theory data (PBE) for a relaxed FeNiP2S crystal.

Geometry as POSCAR:
```
FeNiP2S
1.0
-3.400 2.044 1.593
-2.590 -2.599 -2.194
-0.089 -2.969 3.623
Ni S Fe P
1 1 1 2
direct
0.000 0.000 0.000
0.000 0.000 0.500
0.500 0.500 0.500
0.000 0.500 0.000
0.500 0.000 0.000
```

Values from the calculation:
SG = P4/mmm, No. 123

w has the most favorable energy; the next structure is 85 meV/atom above.